1.
VASP calculation (PBE-GGA) on NbVBi2P after structural relaxation.

Calculated values
final energy = -5.39 eV/atom

Cell lengths 5.5305, 4.6980, 5.5305 Å; angles 90.00, 90.00, 90.00 degrees
Last column: nearest neighbours and their distance in Å.
Positions (direct):
1 P 0.0000 0.5000 0.0000  2 Nb 2.35
2 Nb 0.0000 0.0000 0.0000  2 P 2.35
3 Bi 0.0000 0.0000 0.5000  2 Nb 2.77
4 Bi 0.5000 0.0000 0.0000  2 Nb 2.77
5 V 0.5000 0.5000 0.5000  8 Bi 3.63, 4 P 3.91



2.
VASP calculation (PBE-GGA) on YZr2VIn after structural relaxation.

Calculated values
final energy = -6.63 eV/atom

Cell lengths 4.9040, 5.2827, 4.9040 Å; angles 90.00, 90.00, 90.00 degrees
Last column: nearest neighbours and their distance in Å.
Positions (direct):
1 Y 0.0000 0.5000 0.0000  2 V 2.64
2 V 0.0000 0.0000 0.0000  4 Zr 2.45, 2 Y 2.64
3 Zr 0.0000 0.0000 0.5000  2 V 2.45
4 Zr 0.5000 0.0000 0.0000  2 V 2.45
5 In 0.5000 0.5000 0.5000  4 Y 3.47, 8 Zr 3.60



3.
VASP calculation (PBE-GGA) on BeNi after structural relaxation.

Calculated values
final energy = -3.88 eV/atom

Cell lengths 6.5529, 6.5529, 6.5529 Å; angles 90.00, 90.00, 90.00 degrees
Last column: nearest neighbours and their distance in Å.
Positions (direct):
1 Be 0.1906 0.1906 0.1906  4 Ni 2.05-2.17
2 Be 0.1906 0.8094 0.8094  4 Ni 2.05-2.17
3 Be 0.8094 0.1906 0.8094  4 Ni 2.05-2.17
4 Be 0.8094 0.8094 0.1906  4 Ni 2.05-2.17
5 Be 0.6906 0.6906 0.6906  4 Ni 2.05-2.17
6 Be 0.6906 0.3094 0.3094  4 Ni 2.05-2.17
7 Be 0.3094 0.6906 0.3094  4 Ni 2.05-2.17
8 Be 0.3094 0.3094 0.6906  4 Ni 2.05-2.17
9 Ni 0.3711 0.3711 0.3711  4 Be 2.05-2.17
10 Ni 0.3711 0.6289 0.6289  4 Be 2.05-2.17
11 Ni 0.6289 0.3711 0.6289  4 Be 2.05-2.17
12 Ni 0.6289 0.6289 0.3711  4 Be 2.05-2.17
13 Ni 0.8711 0.8711 0.8711  4 Be 2.05-2.17
14 Ni 0.8711 0.1289 0.1289  4 Be 2.05-2.17
15 Ni 0.1289 0.8711 0.1289  4 Be 2.05-2.17
16 Ni 0.1289 0.1289 0.8711  4 Be 2.05-2.17



4.
VASP calculation (PBE-GGA) on AlFe6Ge after structural relaxation.

Calculated values
final energy = -7.54 eV/atom

Cell lengths 6.3119, 6.3119, 10.3045 Å; angles 90.00, 90.00, 109.35 degrees
Last column: nearest neighbours and their distance in Å.
Positions (direct):
1 Al 0.7514 0.2486 0.7500  12 Fe 2.56-2.59
2 Al 0.2486 0.7514 0.7500  12 Fe 2.56-2.59
3 Al 0.0000 0.0000 0.5015  12 Fe 2.56-2.59
4 Al 0.0000 0.0000 0.9985  12 Fe 2.56-2.59
5 Fe 0.7511 0.2489 0.4996  2 Al 2.56-2.58, 2 Ge 2.57-2.59, 8 Fe 2.57-2.58
6 Fe 0.6253 0.8742 0.3750  8 Fe 2.56-2.59, 3 Ge 2.58, 1 Al 2.58
7 Fe 0.3747 0.1258 0.3750  8 Fe 2.56-2.59, 3 Ge 2.58, 1 Al 2.58
8 Fe 0.2489 0.7511 0.4996  2 Al 2.56-2.58, 2 Ge 2.57-2.59, 8 Fe 2.57-2.58
9 Fe 0.1258 0.3747 0.3750  8 Fe 2.56-2.59, 3 Ge 2.58, 1 Al 2.58
10 Fe 0.8742 0.6253 0.3750  8 Fe 2.56-2.59, 3 Ge 2.58, 1 Al 2.58
11 Fe 0.5000 0.5000 0.7500  2 Ge 2.56, 8 Fe 2.58, 2 Al 2.59
12 Fe 0.3759 0.1250 0.6250  8 Fe 2.57-2.58, 3 Al 2.57-2.58, 1 Ge 2.57
13 Fe 0.1250 0.3759 0.6250  8 Fe 2.57-2.58, 3 Al 2.57-2.58, 1 Ge 2.57
14 Fe 0.7511 0.2489 0.0004  2 Al 2.56-2.58, 2 Ge 2.57-2.59, 8 Fe 2.57-2.58
15 Fe 0.6241 0.8750 0.8750  8 Fe 2.57-2.58, 3 Al 2.57-2.58, 1 Ge 2.57
16 Fe 0.3759 0.1250 0.8750  8 Fe 2.57-2.58, 3 Al 2.57-2.58, 1 Ge 2.57
17 Fe 0.2489 0.7511 0.0004  2 Al 2.56-2.58, 2 Ge 2.57-2.59, 8 Fe 2.57-2.58
18 Fe 0.1250 0.3759 0.8750  8 Fe 2.57-2.58, 3 Al 2.57-2.58, 1 Ge 2.57
19 Fe 0.8750 0.6241 0.8750  8 Fe 2.57-2.58, 3 Al 2.57-2.58, 1 Ge 2.57
20 Fe 0.5000 0.5000 0.2500  8 Fe 2.57, 4 Ge 2.59
21 Fe 0.3747 0.1258 0.1250  8 Fe 2.56-2.59, 3 Ge 2.58, 1 Al 2.58
22 Fe 0.1258 0.3747 0.1250  8 Fe 2.56-2.59, 3 Ge 2.58, 1 Al 2.58
23 Fe 0.0000 0.0000 0.7500  4 Al 2.56, 8 Fe 2.58
24 Fe 0.8750 0.6241 0.6250  8 Fe 2.57-2.58, 3 Al 2.57-2.58, 1 Ge 2.57
25 Fe 0.6241 0.8750 0.6250  8 Fe 2.57-2.58, 3 Al 2.57-2.58, 1 Ge 2.57
26 Fe 0.0000 0.0000 0.2500  2 Ge 2.56, 8 Fe 2.58, 2 Al 2.59
27 Fe 0.8742 0.6253 0.1250  8 Fe 2.56-2.59, 3 Ge 2.58, 1 Al 2.58
28 Fe 0.6253 0.8742 0.1250  8 Fe 2.56-2.59, 3 Ge 2.58, 1 Al 2.58
29 Ge 0.7510 0.2490 0.2500  12 Fe 2.56-2.59
30 Ge 0.2490 0.7510 0.2500  12 Fe 2.56-2.59
31 Ge 0.5000 0.5000 0.5014  12 Fe 2.56-2.59
32 Ge 0.5000 0.5000 0.9986  12 Fe 2.56-2.59



5.
VASP calculation (PBE-GGA) on LiC after structural relaxation.

Calculated values
final energy = -3.58 eV/atom

Cell lengths 4.2756, 4.2756, 4.2756 Å; angles 90.00, 90.00, 90.00 degrees
Last column: nearest neighbours and their distance in Å.
Positions (direct):
1 Li 0.0000 0.0000 0.0000  6 C 2.14
2 Li 0.0000 0.5000 0.5000  6 C 2.14
3 Li 0.5000 0.0000 0.5000  6 C 2.14
4 Li 0.5000 0.5000 0.0000  6 C 2.14
5 C 0.5000 0.5000 0.5000  6 Li 2.14
6 C 0.5000 0.0000 0.0000  6 Li 2.14
7 C 0.0000 0.5000 0.0000  6 Li 2.14
8 C 0.0000 0.0000 0.5000  6 Li 2.14



6.
VASP calculation (PBE-GGA) on Tb6Er2Co after structural relaxation.

Calculated values
final energy = -4.71 eV/atom

Cell lengths 3.6190, 9.0781, 9.6794 Å; angles 117.97, 89.99, 90.00 degrees
Last column: nearest neighbours and their distance in Å.
Positions (direct):
1 Tb 0.9999 0.3341 0.3330  4 Tb 3.04-3.39, 1 Co 3.23
2 Tb 0.0001 0.0012 0.6670  4 Tb 3.04-3.39, 1 Co 3.23
3 Tb 0.0001 0.6659 0.6670  4 Tb 3.04-3.39, 1 Co 3.23
4 Tb 0.5000 0.2075 0.0000  2 Co 2.61
5 Tb 0.9999 0.9988 0.3330  4 Tb 3.04-3.39, 1 Co 3.23
6 Tb 0.5000 0.7925 0.0000  2 Co 2.61
7 Er 0.5001 0.6725 0.3450  8 Tb 3.52-3.63, 2 Er 3.62
8 Er 0.4999 0.3275 0.6550  8 Tb 3.52-3.63, 2 Er 3.62
9 Co 0.0000 0.0000 0.0000  4 Tb 2.61



7.
VASP calculation (PBE-GGA) on Ac2Si5Rh3 after structural relaxation.

Calculated values
formation energy without anion corrections = -0.86 eV/atom

Cell lengths 5.9907, 8.4848, 8.4848 Å; angles 73.83, 69.33, 69.33 degrees
Last column: nearest neighbours and their distance in Å.
Positions (direct):
1 Ac 0.1294 0.6052 0.1360  10 Si 3.16-3.32, 7 Rh 3.25-3.51
2 Ac 0.6294 0.1360 0.6052  10 Si 3.16-3.32, 7 Rh 3.25-3.51
3 Ac 0.8706 0.3948 0.8640  10 Si 3.16-3.32, 7 Rh 3.25-3.51
4 Ac 0.3706 0.8640 0.3948  10 Si 3.16-3.32, 7 Rh 3.25-3.51
5 Si 0.3904 0.2539 0.9653  3 Rh 2.49-2.53, 2 Si 2.55
6 Si 0.8904 0.9653 0.2539  3 Rh 2.49-2.53, 2 Si 2.55
7 Si 0.6096 0.7461 0.0347  3 Rh 2.49-2.53, 2 Si 2.55
8 Si 0.1096 0.0347 0.7461  3 Rh 2.49-2.53, 2 Si 2.55
9 Si 0.4788 0.7712 0.7712  2 Rh 2.48, 2 Si 2.55
10 Si 0.5212 0.2288 0.2288  2 Rh 2.48, 2 Si 2.55
11 Si 0.7500 0.5000 0.5000  4 Rh 2.51
12 Si 0.2500 0.5000 0.5000  4 Rh 2.51
13 Si 0.0213 0.2288 0.2288  2 Rh 2.48, 2 Si 2.55
14 Si 0.9788 0.7712 0.7712  2 Rh 2.48, 2 Si 2.55
15 Rh 0.3628 0.5272 0.7472  5 Si 2.48-2.53
16 Rh 0.8628 0.7472 0.5272  5 Si 2.48-2.53
17 Rh 0.6372 0.4728 0.2528  5 Si 2.48-2.53
18 Rh 0.1372 0.2528 0.4728  5 Si 2.48-2.53
19 Rh 0.2500 0.0000 0.0000  6 Si 2.49-2.78
20 Rh 0.7500 0.0000 0.0000  6 Si 2.49-2.78



8.
VASP calculation (PBE-GGA) on Na2PtRhCl after structural relaxation.

Calculated values
formation energy without anion corrections = 0.20 eV/atom

Cell lengths 5.6616, 4.6325, 5.6616 Å; angles 90.00, 90.00, 90.00 degrees
Last column: nearest neighbours and their distance in Å.
Positions (direct):
1 Na 0.0000 0.0000 0.5000  2 Rh 2.83
2 Na 0.5000 0.0000 0.0000  2 Rh 2.83
3 Rh 0.0000 0.0000 0.0000  2 Pt 2.32
4 Pt 0.0000 0.5000 0.0000  2 Rh 2.32
5 Cl 0.5000 0.5000 0.5000  8 Na 3.66, 4 Pt 4.00